Entry 1:
Material: Pt2CClF
Method: DFT, PBE-GGA
State: relaxed

## Properties
DOS at the Fermi energy in states/eV/atom: 0.7160
ΔE_f (raw) in eV/atom: 1.954

Cell: 4.153 5.238 4.153 Å, 90.00 90.00 90.00°
Site moments in Bohr magnetons follow the coordinates.
Fractional coordinates of all 5 atoms:
C: 0.500 0.500 0.500  0.51
F: 0.000 0.000 0.000  0.00
Pt: 0.000 0.000 0.500  -0.04
Pt: 0.500 0.000 0.000  -0.11
Cl: 0.000 0.500 0.000  -0.05



Entry 2:
Material: Ac6Tb3Nd2
Method: DFT, PBE-GGA
State: relaxed

## Properties
Formation energy in eV/atom: 0.183
DOS at the Fermi energy in states/eV/atom: 1.3601

Cell: 6.644 6.627 12.118 Å, 84.98 79.95 59.91°
Fractional coordinates of all 11 atoms:
Ac: 0.919 0.668 0.249
Ac: 0.081 0.332 0.751
Ac: 0.414 0.668 0.751
Ac: 0.586 0.332 0.249
Ac: 0.255 0.000 0.253
Ac: 0.745 0.000 0.747
Tb: 0.666 0.668 0.000
Tb: 0.000 0.000 0.000
Tb: 0.334 0.332 0.000
Nd: 0.169 0.662 0.500
Nd: 0.831 0.338 0.500



Entry 3:
Material: KRb2Li
Method: DFT, PBE-GGA
State: relaxed

## Properties
Formation energy in eV/atom: 0.216
Excess energy over the best structure of this formula in the dataset in kJ/mol of formula units: 39
DOS at the Fermi energy in states/eV/atom: 0.8330

Cell: 4.530 4.530 15.895 Å, 81.81 81.81 60.00°
Fractional coordinates of all 4 atoms:
Li: 0.000 0.000 0.000
Rb: 0.920 0.920 0.239
Rb: 0.080 0.080 0.761
K: 0.500 0.500 0.500



Entry 4:
Material: LiHoPu2O8
Method: DFT, PBE-GGA
State: relaxed

## Properties
DOS at the Fermi energy in states/eV/atom: 1.2231
ΔE_f (raw) in eV/atom: -2.211

Cell: 6.258 6.258 6.258 Å, 109.32 109.32 109.77°
Site moments in Bohr magnetons follow the coordinates.
Fractional coordinates of all 12 atoms:
Pu: 0.500 0.500 0.000  2.72
Pu: 0.750 0.250 0.500  2.54
O: 0.497 0.691 0.806  -0.14
O: 0.884 0.691 0.194  -0.14
O: 0.309 0.116 0.806  -0.14
O: 0.721 0.045 0.677  -0.18
O: 0.309 0.503 0.194  -0.14
O: 0.955 0.279 0.323  -0.18
O: 0.368 0.045 0.323  -0.18
O: 0.955 0.632 0.677  -0.18
Ho: 0.250 0.750 0.500  -0.01
Li: 0.000 0.000 0.000  0.00



Entry 5:
Material: PaTaPbS6
Method: DFT, PBE-GGA
State: relaxed

## Properties
ΔE_f (raw) in eV/atom: -1.053

Cell: 6.637 6.637 12.445 Å, 90.00 90.00 120.00°
Fractional coordinates of all 18 atoms:
Ta: 0.333 0.667 0.250
Ta: 0.667 0.333 0.750
S: 0.360 0.381 0.366
S: 0.381 0.360 0.866
S: 0.619 0.979 0.366
S: 0.979 0.360 0.634
S: 0.021 0.381 0.134
S: 0.381 0.021 0.634
S: 0.360 0.979 0.134
S: 0.979 0.619 0.866
S: 0.640 0.021 0.866
S: 0.619 0.640 0.134
S: 0.640 0.619 0.634
S: 0.021 0.640 0.366
Pa: 0.333 0.667 0.750
Pa: 0.667 0.333 0.250
Pb: 0.000 0.000 0.500
Pb: 0.000 0.000 0.000



Entry 6:
Material: Rb5Te3Au3
Method: DFT, PBE-GGA
State: relaxed

## Properties
DOS at the Fermi energy in states/eV/atom: 0.4831
ΔE_f (raw) in eV/atom: -0.525

Cell: 5.506 11.033 11.033 Å, 120.00 90.00 90.00°
Fractional coordinates of all 11 atoms:
Au: 0.000 0.360 0.000
Au: 0.000 0.000 0.360
Au: 0.000 0.640 0.640
Rb: 0.500 0.275 0.275
Rb: 0.500 0.000 0.725
Rb: 0.500 0.333 0.667
Rb: 0.500 0.725 0.000
Rb: 0.500 0.667 0.333
Te: 0.500 0.364 0.000
Te: 0.500 0.000 0.364
Te: 0.500 0.636 0.636



| no. | density (g/cm3) |
| --- | --- |
| 1 | 8.39 |
| 2 | 7.77 |
| 3 | 1.29 |
| 4 | 6.93 |
| 5 | 5.68 |
| 6 | 4.01 |